[1]
Compound: PAuS2
Source: Alexandria via LeMat-Bulk
Functional: PBE
Structure: relaxed

Cell lengths 7.301, 7.301, 7.301 Å; angles 137.85, 137.85, 61.13 degrees
Sites, in units of the cell vectors:
P (0.000, 0.000, 0.000)
P (0.750, 0.250, 0.500)
Au (0.250, 0.750, 0.500)
Au (0.500, 0.500, 0.000)
S (0.088, 0.625, 0.963)
S (0.375, 0.338, 0.463)
S (0.662, 0.125, 0.037)
S (0.875, 0.912, 0.537)

[2]
Compound: P2AuS
Source: Alexandria via LeMat-Bulk
Functional: PBE
Structure: relaxed

Cell lengths 3.691, 3.691, 6.391 Å; angles 90.00, 90.00, 120.00 degrees
Sites, in units of the cell vectors:
P (0.000, 0.000, 0.000)
P (0.333, 0.667, 0.812)
Au (0.667, 0.333, 0.234)
S (0.333, 0.667, 0.496)

Number 1: DOS(E_F) 2.46 states/eV/cell, E -3.940 eV/atom, size of the total moment 0.000 μB per cell. Number 2: DOS(E_F) 1.61 states/eV/cell, E -4.406 eV/atom, size of the total moment 0.000 μB per cell.